Record 1
# PuZr2As3

An optimized crystal structure of PuZr2As3 (PBE-GGA, the Alexandria database).

a b c (Å): 3.9414 5.5989 6.8422
angles (deg): 114.15 106.74 90.00
Closest atoms and distances in Å follow each position.
Fractional positions:
Pu 0.5000 0.5000 0.5000  6 As 2.80-2.84
Zr 0.8353 0.8353 0.1707  6 As 2.76-2.80
Zr 0.1647 0.1647 0.8293  6 As 2.76-2.80
As 0.8272 0.3272 0.1544  4 Zr 2.76-2.80, 2 Pu 2.84
As 0.1728 0.6728 0.8456  4 Zr 2.76-2.80, 2 Pu 2.84
As 0.5000 0.0000 0.5000  4 Zr 2.77, 2 Pu 2.80

DFT total energy in eV/atom: -8.68
Size of the total moment in μB per cell: 5.4
Energy of formation from the pure elements in eV/atom: -1.1162
Mass density in Mg/m³: 8.27

Record 2
# RbAs6

An optimized crystal structure of RbAs6 (PBE-GGA, the Alexandria database).

a b c (Å): 6.5041 6.5041 6.5041
angles (deg): 109.47 109.47 109.47
Closest atoms and distances in Å follow each position.
Fractional positions:
Rb 0.0000 0.0000 0.0000  24 As 4.20
As 0.2500 0.7500 0.5000  4 As 2.66
As 0.5000 0.7500 0.2500  4 As 2.66
As 0.2500 0.5000 0.7500  4 As 2.66
As 0.7500 0.2500 0.5000  4 As 2.66
As 0.5000 0.2500 0.7500  4 As 2.66
As 0.7500 0.5000 0.2500  4 As 2.66

DFT total energy in eV/atom: -4.05
Size of the total moment in μB per cell: 0.0
Energy of formation from the pure elements in eV/atom: 0.0700
Mass density in Mg/m³: 4.19